1.
A plane-wave DFT calculation with PBE-GGA was carried out for crystalline Ca2NiBr at its relaxed geometry.

## Properties
E_tot	-3.530	eV per atom
distance to the lowest polymorph of the same formula	42.0	meV per atom
raw formation energy	-0.666	eV per atom
total moment	0.0	μB per cell

Cell: 3.5367 3.5367 7.7609 Å, 90.00 90.00 90.25°
With the nearest neighbours (Å) after each atom.
Fractional coordinates of all 4 atoms:
1 Ca 0.0000 0.0000 0.2115  4 Ni 2.99-3.00, 1 Ca 3.28
2 Ca 0.0000 0.0000 0.7885  4 Ni 2.99-3.00, 1 Ca 3.28
3 Ni 0.5000 0.5000 0.0000  8 Ca 2.99-3.00
4 Br 0.5000 0.5000 0.5000  8 Ca 3.35-3.36, 4 Br 3.54

2.
A plane-wave DFT calculation with PBE-GGA was carried out for crystalline ScCoBr2 at its relaxed geometry.

## Properties
E_tot	-4.658	eV per atom
distance to the lowest polymorph of the same formula	199.7	meV per atom
raw formation energy	-0.462	eV per atom
total moment	1.5	μB per cell

Cell: 3.3683 3.3683 8.3244 Å, 90.00 90.00 97.85°
With the nearest neighbours (Å) after each atom.
Fractional coordinates of all 4 atoms:
1 Sc 0.0000 0.0000 0.0000  4 Co 2.77-3.04, 5 Br 2.82-3.10
2 Co 0.5000 0.5000 0.1999  4 Br 2.50-2.79, 2 Sc 2.77
3 Br 0.0000 0.0000 0.3384  4 Co 2.50-2.79
4 Br 0.5000 0.5000 0.7865  4 Sc 2.84-3.10

3.
A plane-wave DFT calculation with PBE-GGA was carried out for crystalline W2S2Cl at its relaxed geometry.

## Properties
E_tot	-6.667	eV per atom
distance to the lowest polymorph of the same formula	553.2	meV per atom
raw formation energy	0.534	eV per atom
total moment	0.0	μB per cell

Cell: 7.6839 7.6839 2.9490 Å, 90.00 90.00 90.00°
With the nearest neighbours (Å) after each atom.
Fractional coordinates of all 10 atoms:
1 W 0.1200 0.3800 0.0000  4 S 2.47, 1 W 2.61
2 W 0.3800 0.8800 0.0000  4 S 2.47, 1 W 2.61
3 W 0.6200 0.1200 0.0000  4 S 2.47, 1 W 2.61
4 W 0.8800 0.6200 0.0000  4 S 2.47, 1 W 2.61
5 S 0.1376 0.6376 0.5000  4 W 2.47
6 S 0.3624 0.1376 0.5000  4 W 2.47
7 S 0.6376 0.8624 0.5000  4 W 2.47
8 S 0.8624 0.3624 0.5000  4 W 2.47
9 Cl 0.0000 0.0000 0.5000  2 Cl 2.95, 4 S 2.98
10 Cl 0.5000 0.5000 0.5000  2 Cl 2.95, 4 S 2.98

4.
A plane-wave DFT calculation with PBE-GGA was carried out for crystalline KHg2Sb2Pb at its relaxed geometry.

## Properties
E_tot	-2.413	eV per atom
raw formation energy	-0.138	eV per atom
total moment	0.0	μB per cell

Cell: 5.0436 5.0436 8.7773 Å, 90.00 90.00 120.00°
With the nearest neighbours (Å) after each atom.
Fractional coordinates of all 6 atoms:
1 K 0.0000 0.0000 0.0000  6 Hg 3.69, 6 Sb 3.88
2 Hg 0.3333 0.6667 0.7427  3 Sb 2.93
3 Hg 0.6667 0.3333 0.2573  3 Sb 2.93
4 Sb 0.3333 0.6667 0.2918  3 Hg 2.93
5 Sb 0.6667 0.3333 0.7082  3 Hg 2.93
6 Pb 0.0000 0.0000 0.5000  6 Sb 3.44, 6 Hg 3.61

5.
A plane-wave DFT calculation with PBE-GGA was carried out for crystalline Zr3NiPb at its relaxed geometry.

## Properties
E_tot	-5.482	eV per atom
distance to the lowest polymorph of the same formula	1550.3	meV per atom
E_form	1.54	eV/atom
total moment	0.3	μB per cell

Cell: 5.3470 5.3470 5.3470 Å, 90.00 90.00 90.00°
With the nearest neighbours (Å) after each atom.
Fractional coordinates of all 5 atoms:
1 Zr 0.0000 0.0000 0.5000  2 Pb 2.67
2 Zr 0.0000 0.5000 0.0000  2 Pb 2.67
3 Zr 0.5000 0.0000 0.0000  2 Pb 2.67
4 Ni 0.5000 0.5000 0.5000  12 Zr 3.78
5 Pb 0.0000 0.0000 0.0000  6 Zr 2.67

6.
A plane-wave DFT calculation with PBE-GGA was carried out for crystalline LiRhIN2 at its relaxed geometry.

## Properties
E_tot	-4.912	eV per atom
distance to the lowest polymorph of the same formula	0.0	meV per atom
raw formation energy	0.581	eV per atom
total moment	0.2	μB per cell

Cell: 3.7861 3.7861 8.4224 Å, 90.00 90.00 90.00°
With the nearest neighbours (Å) after each atom.
Fractional coordinates of all 5 atoms:
1 Li 0.0000 0.0000 0.0000  4 I 2.68
2 Rh 0.5000 0.5000 0.5000  4 N 1.89
3 I 0.5000 0.5000 0.0000  4 Li 2.68
4 N 0.0000 0.5000 0.5000  2 Rh 1.89
5 N 0.5000 0.0000 0.5000  2 Rh 1.89

7.
A plane-wave DFT calculation with PBE-GGA was carried out for crystalline LiTlI2 at its relaxed geometry.

## Properties
E_tot	-2.732	eV per atom
distance to the lowest polymorph of the same formula	36.0	meV per atom
raw formation energy	-0.887	eV per atom
total moment	0.0	μB per cell

Cell: 8.4769 8.4769 8.4769 Å, 30.63 30.63 30.63°
With the nearest neighbours (Å) after each atom.
Fractional coordinates of all 4 atoms:
1 Li 0.0000 0.0000 0.0000  6 I 3.05-3.08
2 Tl 0.8320 0.8320 0.8320  6 I 3.52-3.53
3 I 0.3998 0.3998 0.3998  3 Li 3.05
4 I 0.5973 0.5973 0.5973  3 Li 3.08

8.
A plane-wave DFT calculation with PBE-GGA was carried out for crystalline Ce2GaAs4Pd3 at its relaxed geometry.

## Properties
E_tot	-5.640	eV per atom
E_form	-0.73	eV/atom
total moment	1.8	μB per cell

Cell: 4.5407 4.5407 9.7379 Å, 90.00 90.00 90.00°
With the nearest neighbours (Å) after each atom.
Fractional coordinates of all 10 atoms:
1 Ce 0.0000 0.5000 0.2405  8 As 3.26-3.44, 7 Pd 3.40-3.47, 2 Ga 3.40
2 Ce 0.5000 0.0000 0.7595  8 As 3.26-3.44, 7 Pd 3.40-3.47, 2 Ga 3.40
3 Ga 0.0000 0.0000 0.5000  4 As 2.61
4 As 0.0000 0.0000 0.0000  4 Pd 2.54
5 As 0.0000 0.5000 0.6331  3 Pd 2.44-2.61, 2 Ga 2.61
6 As 0.5000 0.0000 0.3669  3 Pd 2.44-2.61, 2 Ga 2.61
7 As 0.5000 0.5000 0.0000  4 Pd 2.54
8 Pd 0.0000 0.5000 0.8838  5 As 2.44-2.54
9 Pd 0.5000 0.0000 0.1162  5 As 2.44-2.54
10 Pd 0.5000 0.5000 0.5000  4 As 2.61